Record 1
Computed, not measured: Li15Mn2O12 at its PBEsol-relaxed geometry at the meta-GGA SCAN level of DFT.

```
Li15Mn2O12
1.0
5.236 0.000 0.000
0.097 5.824 0.000
0.026 0.580 7.889
Li Mn O
15 2 12
Cartesian
0.000 0.000 0.000 Li
0.062 2.150 5.716 Li
0.807 5.571 5.890 Li
0.742 1.194 3.551 Li
1.200 3.994 1.228 Li
1.600 0.943 1.414 Li
1.774 3.670 6.699 Li
1.996 5.010 3.928 Li
2.518 2.737 4.475 Li
3.308 2.372 2.169 Li
3.493 4.475 0.115 Li
3.633 0.597 4.628 Li
4.180 5.523 2.178 Li
4.196 4.280 5.579 Li
4.550 2.203 0.175 Li
2.601 1.234 6.930 Mn
5.228 3.663 3.244 Mn
0.824 5.371 2.566 O
0.816 3.883 4.962 O
1.062 2.146 7.534 O
1.489 2.681 2.640 O
1.783 5.417 7.496 O
1.839 1.012 5.163 O
3.445 2.826 6.450 O
3.413 0.749 0.788 O
3.774 4.667 3.811 O
4.243 6.019 6.407 O
4.365 2.107 3.766 O
4.492 3.641 1.452 O
```

Properties
Formation energy (no corrections) = -2.06 eV/atom
Density of states at the Fermi level = 10.5 states/eV/f.u.

***

Record 2
Computed, not measured: Mg3TiFe at its PBEsol-relaxed geometry at the meta-GGA SCAN level of DFT.

```
Mg3TiFe
1.0
5.108 0.000 0.000
0.000 5.108 0.000
0.000 0.000 5.108
Mg Ti Fe
3 1 1
Cartesian
0.000 0.000 2.554 Mg
0.000 2.554 0.000 Mg
2.554 0.000 0.000 Mg
0.000 0.000 0.000 Ti
2.554 2.554 2.554 Fe
```

Properties
Total energy = -8.329 eV/atom
Density of states at the Fermi level = 6.0 states/eV/f.u.

***

Record 3
Computed, not measured: GaTc3Ag at its PBEsol-relaxed geometry at the meta-GGA SCAN level of DFT.

```
GaTc3Ag
1.0
4.708 0.000 0.000
0.000 4.708 0.000
0.000 0.000 4.708
Ga Tc Ag
1 3 1
Cartesian
0.000 0.000 0.000 Ga
0.000 2.354 2.354 Tc
2.354 0.000 2.354 Tc
2.354 2.354 0.000 Tc
2.354 2.354 2.354 Ag
```

Properties
Total energy = -28.161 eV/atom
Density of states at the Fermi level = 4.5 states/eV/f.u.

***

Record 4
Computed, not measured: K3Nb8O10F4 at its PBEsol-relaxed geometry at the meta-GGA SCAN level of DFT.

```
K3Nb8O10F4
1.0
4.152 0.000 0.000
0.000 4.152 0.000
0.000 0.000 21.759
K Nb O F
3 8 10 4
Cartesian
0.000 0.000 0.000 K
0.000 0.000 8.346 K
2.076 2.076 11.142 K
0.000 0.000 13.130 Nb
0.000 0.000 17.294 Nb
0.000 2.076 4.343 Nb
0.000 2.076 15.145 Nb
2.076 0.000 4.343 Nb
2.076 0.000 15.145 Nb
2.076 2.076 2.299 Nb
2.076 2.076 6.359 Nb
0.000 0.000 4.354 O
0.000 2.076 2.242 O
0.000 2.076 6.462 O
0.000 2.076 13.014 O
0.000 2.076 17.212 O
2.076 0.000 2.242 O
2.076 0.000 6.462 O
2.076 0.000 13.014 O
2.076 0.000 17.212 O
2.076 2.076 15.135 O
0.000 0.000 10.950 F
0.000 0.000 19.280 F
2.076 2.076 0.221 F
2.076 2.076 8.539 F
```

Properties
Formation energy (no corrections) = -2.53 eV/atom
Density of states at the Fermi level = 6.2 states/eV/f.u.

***

Record 5
Computed, not measured: LaSiI at its PBEsol-relaxed geometry at the meta-GGA SCAN level of DFT.

```
LaSiI
1.0
4.168 0.000 0.000
-2.084 3.609 0.000
0.000 0.000 11.888
La Si I
2 2 2
Cartesian
0.000 0.000 2.046 La
0.000 0.000 9.842 La
0.000 2.406 11.834 Si
2.084 1.203 0.054 Si
0.000 2.406 4.202 I
2.084 1.203 7.685 I
```

Properties
Formation energy (no corrections) = -1.22 eV/atom
Density of states at the Fermi level = 0.6 states/eV/f.u.

***

Record 6
Computed, not measured: KSr2Cd2Sb3 at its PBEsol-relaxed geometry at the meta-GGA SCAN level of DFT.

```
KSr2Cd2Sb3
1.0
12.611 0.000 0.000
0.000 4.815 0.000
0.000 0.000 16.247
K Sr Cd Sb
4 8 8 12
Cartesian
1.174 1.204 0.797 K
5.131 3.611 8.921 K
7.480 1.204 7.326 K
11.437 3.611 15.450 K
1.274 3.611 6.920 Sr
1.697 1.204 12.725 Sr
4.609 3.611 4.601 Sr
5.031 1.204 15.043 Sr
7.580 3.611 1.204 Sr
8.002 1.204 11.646 Sr
10.914 3.611 3.522 Sr
11.337 1.204 9.328 Sr
1.668 1.204 4.600 Cd
2.486 1.204 9.398 Cd
3.819 3.611 1.274 Cd
4.637 3.611 12.724 Cd
7.974 1.204 3.523 Cd
8.792 1.204 14.973 Cd
10.125 3.611 6.850 Cd
10.943 3.611 11.647 Cd
1.000 3.611 10.246 Sb
1.577 3.611 3.139 Sb
2.640 3.611 14.900 Sb
3.665 1.204 6.777 Sb
4.729 1.204 11.263 Sb
5.305 1.204 2.123 Sb
7.306 3.611 14.125 Sb
7.882 3.611 4.985 Sb
8.946 3.611 9.470 Sb
9.971 1.204 1.347 Sb
11.034 1.204 13.108 Sb
11.611 1.204 6.001 Sb
```

Properties
Formation energy (no corrections) = -0.80 eV/atom
Density of states at the Fermi level = 0.0 states/eV/f.u.